First-principles (PBE-GGA) data for ZnFe3H after structural relaxation, as listed in Alexandria.

```
ZnFe3H
1.0
2.5438 0.0000 6.5269
-1.2719 2.2030 6.5269
-1.2719 -2.2030 6.5269
H Zn Fe
2 2 6
Cartesian
0.0000 0.0000 3.2278 H
0.0000 0.0000 16.3530 H
0.0000 0.0000 13.0591 Zn
0.0000 0.0000 6.5217 Zn
-0.0008 1.4480 10.9150 Fe
-1.2536 -0.7247 10.9150 Fe
-1.2544 0.7233 8.6658 Fe
1.2544 -0.7233 10.9150 Fe
1.2536 0.7247 8.6658 Fe
0.0008 -1.4480 8.6658 Fe
```

## Properties
For the offset from the most stable computed form, the calculation gives 187 meV per atom. Its magnetization is 1.39 μB per atom. As for the crystal system: trigonal. Its space group is R-3 (148).